[1]
VASP calculation (SCAN) on a PBEsol-optimized structure of Ca3Co2Ge3O12.

```
Ca3Co2Ge3O12
1.0
10.473 0.000 0.000
-3.491 9.874 0.000
-3.491 -4.937 8.551
Ca Co Ge O
12 8 12 48
Direct
0.750 0.375 0.625
0.250 0.125 0.875
0.375 0.125 0.250
0.125 0.375 0.750
0.375 0.250 0.625
0.125 0.750 0.875
0.250 0.625 0.375
0.750 0.875 0.125
0.625 0.875 0.750
0.875 0.625 0.250
0.625 0.750 0.375
0.875 0.250 0.125
0.500 0.000 0.000
0.500 0.000 0.500
0.000 0.500 0.500
0.500 0.500 0.000
0.000 0.500 0.000
0.000 0.000 0.500
0.500 0.500 0.500
0.000 0.000 0.000
0.875 0.750 0.625
0.125 0.250 0.375
0.375 0.625 0.750
0.250 0.375 0.125
0.125 0.875 0.250
0.750 0.125 0.375
0.250 0.875 0.625
0.750 0.625 0.875
0.875 0.125 0.750
0.625 0.375 0.250
0.375 0.750 0.125
0.625 0.250 0.875
0.581 0.384 0.402
0.116 0.197 0.517
0.902 0.581 0.884
0.483 0.179 0.098
0.321 0.017 0.402
0.384 0.902 0.081
0.384 0.483 0.803
0.303 0.919 0.821
0.179 0.581 0.697
0.017 0.902 0.821
0.197 0.179 0.081
0.303 0.384 0.983
0.581 0.197 0.679
0.598 0.116 0.419
0.919 0.598 0.616
0.902 0.321 0.517
0.483 0.303 0.884
0.919 0.321 0.803
0.017 0.116 0.697
0.821 0.419 0.303
0.321 0.303 0.419
0.197 0.017 0.616
0.598 0.483 0.679
0.116 0.919 0.098
0.419 0.616 0.598
0.884 0.803 0.483
0.098 0.419 0.116
0.517 0.821 0.902
0.679 0.983 0.598
0.616 0.098 0.919
0.616 0.517 0.197
0.697 0.081 0.179
0.884 0.081 0.902
0.402 0.517 0.321
0.803 0.983 0.384
0.821 0.402 0.017
0.679 0.697 0.581
0.983 0.884 0.303
0.081 0.679 0.197
0.517 0.697 0.116
0.098 0.679 0.483
0.081 0.402 0.384
0.402 0.884 0.581
0.419 0.803 0.321
0.697 0.616 0.017
0.803 0.821 0.919
0.983 0.098 0.179
0.179 0.598 0.983
```

Electronic total energy: -12.0552 eV/atom
Magnetic moment: 0.000 μB per formula unit


[2]
VASP calculation (SCAN) on a PBEsol-optimized structure of TlSiP.

```
TlSiP
1.0
3.242 0.000 0.000
0.000 3.242 0.000
-1.621 -1.621 6.125
P Tl Si
1 1 1
Direct
0.106 0.106 0.211
0.333 0.333 0.666
0.561 0.561 0.123
```

Electronic total energy: -30.6483 eV/atom
Magnetic moment: 0.000 μB per formula unit


[3]
VASP calculation (SCAN) on a PBEsol-optimized structure of IrWBr2.

```
IrWBr2
1.0
-1.641 -1.817 -1.749
-0.281 -2.913 0.702
-8.439 0.436 4.876
Ir Br W
1 2 1
Direct
0.510 0.510 0.469
0.981 0.981 0.057
0.763 0.763 0.711
0.246 0.246 0.263
```

Energy relative to the lowest polymorph listed for this composition: 354 meV/atom
Magnetic moment: 0.000 μB per formula unit


[4]
VASP calculation (SCAN) on a PBEsol-optimized structure of InRe2H.

```
InRe2H
1.0
-3.433 0.791 -2.455
0.330 -0.190 -4.277
-1.879 -3.201 -2.158
Re H In
2 1 1
Direct
0.250 0.250 0.250
0.750 0.750 0.750
0.000 0.000 0.000
0.500 0.500 0.500
```

Electronic total energy: -43.0711 eV/atom
Magnetic moment: 0.000 μB per formula unit


[5]
VASP calculation (SCAN) on a PBEsol-optimized structure of HfMgZn2Rh.

```
HfMgZn2Rh
1.0
4.759 0.000 0.000
0.000 4.765 0.000
0.000 0.000 4.765
Rh Zn Hf Mg
1 2 1 1
Direct
0.000 0.000 0.000
0.000 0.000 0.500
0.000 0.500 0.000
0.500 0.000 0.000
0.500 0.500 0.500
```

DFT formation energy: 97 meV/atom
Magnetic moment: 0.000 μB per formula unit


[6]
VASP calculation (SCAN) on a PBEsol-optimized structure of YCrTc2.

```
YCrTc2
1.0
-2.305 -0.541 1.839
3.775 -2.593 1.525
0.367 4.666 1.832
Cr Tc Y
1 2 1
Direct
0.500 0.000 0.000
0.782 0.564 0.812
0.218 0.436 0.188
0.000 0.000 0.500
```

Energy relative to the lowest polymorph listed for this composition: 3 meV/atom
DFT formation energy: 266 meV/atom
Magnetic moment: 0.002 μB per formula unit


[7]
VASP calculation (SCAN) on a PBEsol-optimized structure of CuPOsS2.

```
CuPOsS2
1.0
4.471 0.000 0.000
0.000 4.626 0.000
0.000 0.000 4.626
P S Os Cu
1 2 1 1
Direct
0.500 0.000 0.000
0.000 0.000 0.500
0.000 0.500 0.000
0.000 0.000 0.000
0.500 0.500 0.500
```

Electronic total energy: -22.3846 eV/atom
Magnetic moment: 0.000 μB per formula unit


[8]
VASP calculation (SCAN) on a PBEsol-optimized structure of SrPrMgRuO6.

```
SrPrMgRuO6
1.0
5.521 0.000 -0.001
0.000 5.589 0.000
0.021 0.000 7.815
Sr Pr Mg Ru O
2 2 2 2 12
Direct
0.494 0.218 0.750
0.994 0.782 0.250
0.511 0.297 0.249
0.011 0.703 0.749
0.501 0.755 0.999
0.001 0.245 0.499
0.500 0.752 0.500
0.000 0.248 0.000
0.583 0.762 0.743
0.083 0.238 0.243
0.437 0.730 0.257
0.937 0.270 0.757
0.217 0.952 0.542
0.717 0.048 0.042
0.772 0.534 0.465
0.272 0.466 0.965
0.699 0.035 0.458
0.199 0.965 0.958
0.285 0.478 0.538
0.785 0.522 0.038
```

Electronic total energy: -16.9677 eV/atom
Magnetic moment: 3.000 μB per formula unit


[9]
VASP calculation (SCAN) on a PBEsol-optimized structure of La2MgAl.

```
La2MgAl
1.0
-3.676 0.294 0.758
-1.161 -1.935 -4.877
2.427 -4.162 4.036
Mg Al La
1 1 2
Direct
0.532 0.532 0.063
0.226 0.726 0.452
0.984 0.984 0.969
0.758 0.258 0.515
```

DFT formation energy: -232 meV/atom
Magnetic moment: 0.061 μB per formula unit


[10]
VASP calculation (SCAN) on a PBEsol-optimized structure of MgTiBe3.

```
MgTiBe3
1.0
-0.170 4.254 1.299
-3.978 0.436 -1.949
-1.990 -1.235 3.785
Be Mg Ti
3 1 1
Direct
0.000 0.500 0.000
0.000 0.000 0.500
0.500 0.000 0.000
0.500 0.500 0.500
0.000 0.000 0.000
```

Energy relative to the lowest polymorph listed for this composition: 90 meV/atom
DFT formation energy: 1298 meV/atom
Magnetic moment: 2.585 μB per formula unit


[11]
VASP calculation (SCAN) on a PBEsol-optimized structure of In2AgSe.

```
In2AgSe
1.0
-3.379 -1.185 1.580
1.668 -3.562 0.898
0.836 3.889 4.705
Ag In Se
1 2 1
Direct
0.500 0.346 0.820
0.000 0.900 0.926
0.500 0.592 0.306
0.000 0.163 0.448
```

Electronic total energy: -29.6582 eV/atom
Magnetic moment: 0.000 μB per formula unit


[12]
VASP calculation (SCAN) on a PBEsol-optimized structure of ZrTcPt.

```
ZrTcPt
1.0
4.350 0.000 0.000
2.175 3.767 0.000
2.175 1.256 3.551
Pt Tc Zr
1 1 1
Direct
0.250 0.250 0.250
0.000 0.000 0.000
0.500 0.500 0.500
```

Energy relative to the lowest polymorph listed for this composition: 0 meV/atom
DFT formation energy: -106 meV/atom
Magnetic moment: 0.000 μB per formula unit